DFT (PBEsol) results for an optimized crystal structure of TiAl2Cl8.

```
22
Lattice="-2.6540 7.1874 -1.8816 -8.2747 0.0863 -4.5386 -6.4896 3.6163 6.4275" Properties=species:S:1:pos:R:3 pbc="T T T"
Ti -7.8285 0.9690 -1.7971
Ti -9.5898 9.9210 1.8044
Al -8.2418 7.7728 -0.2092
Al -3.1495 4.9358 -1.6888
Al -9.1765 3.1172 0.2165
Al -14.2687 5.9542 1.6960
Cl -6.6625 6.6044 0.5210
Cl -6.3060 5.0994 4.2136
Cl -3.5380 2.8796 -1.5747
Cl -13.8802 8.0104 1.5820
Cl -9.4800 1.8852 -3.4394
Cl -8.7884 3.6796 2.2915
Cl -11.1122 5.7906 -4.2064
Cl -8.6299 7.2104 -2.2842
Cl -4.6982 6.0863 -2.7016
Cl -7.3758 3.2995 -1.0049
Cl -12.7200 4.8037 2.7089
Cl -10.7557 4.2856 -0.5137
Cl -12.1609 8.1560 -1.8143
Cl -5.2573 2.7340 1.8216
Cl -10.0424 7.5905 1.0121
Cl -7.9383 9.0048 3.4467
```

- size of the total moment (μB per cell) = 4.0
- ΔE_f (raw) (eV/atom) = -1.43
- space-group type = C2/c
- energy above the lowest structure with this stoichiometry (eV/atom) = 0.0034